1.
! U3As3P, optimized geometry, DFT PBE; values from VASP
&SYSTEM
  ibrav = 0, nat = 14, ntyp = 3
/
ATOMIC_SPECIES
U 238.03 U.upf
P 30.97 P.upf
As 74.92 As.upf
CELL_PARAMETERS angstrom
-4.084 5.154 -3.162
0.757 -6.569 -3.085
-5.437 -2.219 3.944
ATOMIC_POSITIONS angstrom
U -3.283 0.863 -1.054
U -5.481 -4.497 -1.249
U -4.446 -1.869 -5.087
U -4.318 -1.765 2.784
U -7.051 -0.694 -1.274
U -1.713 -2.940 -1.029
P -1.207 -0.512 -1.990
P -7.557 -3.123 -0.313
As -2.836 -5.560 -1.127
As -4.171 -1.722 0.018
As -4.593 -1.912 -2.321
As -0.195 -4.264 -3.100
As -5.927 1.926 -1.176
As -3.132 2.849 -3.147
! V (Å³ per cell): 323
! Space-group type: C2/m (12)
! Magnetization (μB/cell): 13.99

---

2.
! U6AsP5, optimized geometry, DFT PBE; values from VASP
&SYSTEM
  ibrav = 0, nat = 12, ntyp = 3
/
ATOMIC_SPECIES
P 30.97 P.upf
U 238.03 U.upf
As 74.92 As.upf
CELL_PARAMETERS angstrom
-1.197 0.516 -6.733
-5.338 -3.946 -1.682
-6.349 2.577 0.162
ATOMIC_POSITIONS angstrom
P -5.749 1.353 -3.531
P -3.900 -0.451 -0.505
P -7.788 -0.917 -1.014
P -7.136 -2.206 -4.721
P -3.268 -1.715 -4.207
U -5.533 -1.253 -2.631
U -3.511 0.926 -5.099
U -9.373 -1.779 -3.153
U -7.351 0.401 -5.621
U -4.862 -2.548 -6.280
U -1.673 -0.883 -2.135
As 0.000 0.000 0.000
! V (Å³ per cell): 263
! Space-group type: C2/m (12)
! Magnetization (μB/cell): 12.53

---

3.
! U5As5P, optimized geometry, DFT PBE; values from VASP
&SYSTEM
  ibrav = 0, nat = 11, ntyp = 3
/
ATOMIC_SPECIES
As 74.92 As.upf
U 238.03 U.upf
P 30.97 P.upf
CELL_PARAMETERS angstrom
5.679 0.000 0.000
-2.840 6.425 -0.058
0.000 -2.470 7.638
ATOMIC_POSITIONS angstrom
As 2.840 1.360 2.538
As 0.000 2.595 5.042
As 0.000 3.872 1.252
As 0.000 -1.235 3.819
As 2.840 0.083 6.328
U 2.840 0.000 0.000
U 2.840 2.670 5.080
U 0.000 1.285 2.500
U 0.000 0.002 6.342
U 2.840 3.953 1.238
P 0.000 0.000 0.000
! V (Å³ per cell): 278
! Space-group type: C2/m (12)
! Magnetization (μB/cell): 10.60

---

4.
! UAsP, optimized geometry, DFT PBE; values from VASP
&SYSTEM
  ibrav = 0, nat = 6, ntyp = 3
/
ATOMIC_SPECIES
As 74.92 As.upf
U 238.03 U.upf
P 30.97 P.upf
CELL_PARAMETERS angstrom
0.171 0.588 -3.832
-0.280 -3.824 -0.599
-7.755 2.229 1.961
ATOMIC_POSITIONS angstrom
As -0.140 -1.912 -0.300
As 0.085 0.294 -1.916
U -2.321 -1.441 -2.289
U -5.543 0.433 -0.180
P -5.044 -1.228 -2.378
P -2.820 0.221 -0.092
! V (Å³ per cell): 118
! Space-group type: I4/mmm (139)
! Magnetization (μB/cell): 2.69

---

no.,formation enthalpy at 0 K (eV/atom)
1,-0.4763
2,-0.9190
3,-0.5960
4,-0.7484